Record 1
Cr2RhW after structural relaxation, computed with GGA-PBE.

Calculated values
Formation energy in meV/atom: 145
Spin magnetization in μB/cell: 0.00
Energy in eV per atom: -9.743
Energy above the lowest structure with this stoichiometry in eV/atom: 0.102
ρ in kg/m³: 11891
Space group: Cmmm

a b c (Å): 2.6333 2.6333 8.0921
angles (deg): 90.00 90.00 103.49
With the nearest neighbours (Å) after each atom.
Atoms (fractional coordinates):
W  0.5000  0.5000  0.7500  4 W 2.63, 4 Cr 2.66
Cr  0.0000  0.0000  0.0103  4 Rh 2.53-2.84, 4 Cr 2.63, 2 W 2.66
Rh  0.5000  0.5000  0.2500  8 Cr 2.53-2.84, 4 Rh 2.63
Cr  0.0000  0.0000  0.4897  4 Rh 2.53-2.84, 4 Cr 2.63, 2 W 2.66


Record 2
K2ReMo after structural relaxation, computed with GGA-PBE.

Calculated values
Formation energy in meV/atom: 2172
Spin magnetization in μB/cell: 4.02
Energy in eV per atom: -4.197
Energy above the lowest structure with this stoichiometry in eV/atom: 1.320
ρ in kg/m³: 5317
Space group: P4/mmm

a b c (Å): 6.5841 6.5841 2.5961
angles (deg): 90.00 90.00 90.00
With the nearest neighbours (Å) after each atom.
Atoms (fractional coordinates):
Re  0.0000  0.5000  0.5000  2 Re 2.60
K  0.0000  0.0000  0.0000  2 K 2.60
K  0.5000  0.5000  0.0000  2 K 2.60
Mo  0.5000  0.0000  0.5000  2 Mo 2.60


Record 3
CaAgTe2 after structural relaxation, computed with GGA-PBE.

Calculated values
Spin magnetization in μB/cell: 0.00
Energy in eV per atom: -3.458
Formation energy from raw total energies in eV/atom: -0.67
ρ in kg/m³: 5577
Space group: Pm

a b c (Å): 4.9991 4.2423 6.1861
angles (deg): 66.21 90.00 90.00
With the nearest neighbours (Å) after each atom.
Atoms (fractional coordinates):
Ag  0.0000  0.5717  0.3968  4 Te 2.74-3.03
Ca  0.5000  0.5738  0.8226  7 Te 3.17-3.33
Te  0.5000  0.3196  0.3805  2 Ag 2.74
Te  0.0000  0.0349  0.9001  2 Ag 2.90-3.03


Record 4
SbH2F8 after structural relaxation, computed with GGA-PBE.

Calculated values
Spin magnetization in μB/cell: 1.09
Energy in eV per atom: -4.072
Energy above the lowest structure with this stoichiometry in eV/atom: 0.038
ρ in kg/m³: 3146
Space group: C2/m

a b c (Å): 5.0887 5.5714 5.5714
angles (deg): 68.76 82.91 82.91
With the nearest neighbours (Å) after each atom.
Atoms (fractional coordinates):
F  0.7814  0.1465  0.7169  1 Sb 1.91
F  0.7814  0.7169  0.1465  1 Sb 1.91
F  0.2186  0.8535  0.2831  1 Sb 1.91
F  0.2186  0.2831  0.8535  1 Sb 1.91
F  0.2255  0.8113  0.8113  1 H 1.52
H  0.5050  0.7268  0.7268  1 F 0.98
Sb  0.0000  0.0000  0.0000  6 F 1.91-1.93
F  0.7745  0.1887  0.1887  1 H 1.52
F  0.3104  0.3221  0.3221  1 H 0.98
H  0.4950  0.2732  0.2732  1 F 0.98
F  0.6896  0.6779  0.6779  1 H 0.98


Record 5
CaAl4Pd8 after structural relaxation, computed with GGA-PBE.

Calculated values
Formation energy in meV/atom: -760
Spin magnetization in μB/cell: 0.00
Energy in eV per atom: -5.261
ρ in kg/m³: 7951
Space group: I4/mmm

a b c (Å): 5.3748 6.7864 6.7864
angles (deg): 80.98 66.67 66.67
With the nearest neighbours (Å) after each atom.
Atoms (fractional coordinates):
Pd  0.6619  0.3381  0.3381  4 Al 2.69, 5 Pd 2.83-2.87, 1 Ca 2.98
Pd  0.0000  0.6619  0.3381  4 Al 2.69, 5 Pd 2.83-2.87, 1 Ca 2.98
Al  0.5000  0.0000  0.5000  8 Pd 2.59-2.69, 2 Al 2.69
Pd  0.2769  0.2231  0.2231  4 Al 2.59, 6 Pd 2.78-2.87
Al  0.0000  0.5000  0.0000  8 Pd 2.59-2.69, 2 Al 2.69
Pd  0.5000  0.7769  0.2231  4 Al 2.59, 6 Pd 2.78-2.87
Al  0.5000  0.5000  0.0000  8 Pd 2.59-2.69, 2 Al 2.69
Pd  0.3381  0.6619  0.6619  4 Al 2.69, 5 Pd 2.83-2.87, 1 Ca 2.98
Pd  0.7231  0.7769  0.7769  4 Al 2.59, 6 Pd 2.78-2.87
Pd  0.0000  0.3381  0.6619  4 Al 2.69, 5 Pd 2.83-2.87, 1 Ca 2.98
Al  0.0000  0.0000  0.5000  8 Pd 2.59-2.69, 2 Al 2.69
Pd  0.5000  0.2231  0.7769  4 Al 2.59, 6 Pd 2.78-2.87
Ca  0.0000  0.0000  0.0000  12 Pd 2.98-3.33


Record 6
Dy2Sb5 after structural relaxation, computed with GGA-PBE.

Calculated values
Spin magnetization in μB/cell: 0.00
Energy in eV per atom: -4.904
Formation energy from raw total energies in eV/atom: -0.64
ρ in kg/m³: 7739
Space group: P2_1/m

a b c (Å): 4.2206 13.2124 14.6897
angles (deg): 78.07 90.00 90.00
With the nearest neighbours (Å) after each atom.
Atoms (fractional coordinates):
Sb  0.2500  0.7151  0.3480  4 Sb 2.99-3.17, 4 Dy 3.19-3.30
Sb  0.7500  0.8563  0.5183  2 Sb 3.17, 5 Dy 3.19-3.36
Sb  0.7500  0.2849  0.6520  4 Sb 2.99-3.17, 4 Dy 3.19-3.30
Dy  0.2500  0.6690  0.5777  9 Sb 3.18-3.32
Sb  0.7500  0.1386  0.3219  4 Sb 3.04-3.17, 4 Dy 3.19-3.30
Dy  0.2500  0.6620  0.8555  9 Sb 3.12-3.32
Sb  0.7500  0.2792  0.9368  2 Sb 2.94
Dy  0.2500  0.3933  0.7702  9 Sb 3.10-3.35
Dy  0.7500  0.0472  0.6383  9 Sb 3.19-3.42
Sb  0.2500  0.1413  0.7783  4 Sb 3.00-3.17, 1 Dy 3.31
Sb  0.2500  0.8614  0.6781  4 Sb 3.04-3.17, 4 Dy 3.19-3.30
Sb  0.2500  0.9692  0.0935  3 Sb 2.88-3.00
Dy  0.7500  0.3310  0.4223  9 Sb 3.18-3.32
Sb  0.2500  0.1437  0.4817  2 Sb 3.17, 5 Dy 3.19-3.36
Sb  0.2500  0.4254  0.5510  4 Sb 2.99-3.06, 4 Dy 3.16-3.32
Sb  0.2500  0.4244  0.2655  6 Dy 3.12-3.18
Sb  0.7500  0.5746  0.4490  4 Sb 2.99-3.06, 4 Dy 3.16-3.32
Dy  0.2500  0.9528  0.3617  9 Sb 3.19-3.42
Sb  0.7500  0.8477  0.8288  3 Sb 2.88-3.04, 2 Dy 3.20
Sb  0.7500  0.8587  0.2217  4 Sb 3.00-3.17, 1 Dy 3.31
Sb  0.2500  0.1523  0.1712  3 Sb 2.88-3.04, 2 Dy 3.20
Sb  0.7500  0.5756  0.7345  6 Dy 3.12-3.18
Dy  0.7500  0.3380  0.1445  9 Sb 3.12-3.32
Sb  0.2500  0.7208  0.0632  2 Sb 2.94
Sb  0.7500  0.5801  0.0247  4 Sb 2.94-3.18, 3 Dy 3.10-3.27
Sb  0.2500  0.4199  0.9753  4 Sb 2.94-3.18, 3 Dy 3.10-3.27
Dy  0.7500  0.6067  0.2298  9 Sb 3.10-3.35
Sb  0.7500  0.0308  0.9065  3 Sb 2.88-3.00


Record 7
Rb2PmHF6 after structural relaxation, computed with GGA-PBE.

Calculated values
Spin magnetization in μB/cell: 0.11
Energy in eV per atom: -5.108
ρ in kg/m³: 3994
Space group: I4/m

a b c (Å): 6.1500 6.1469 7.1612
angles (deg): 54.46 54.44 69.31
With the nearest neighbours (Å) after each atom.
Atoms (fractional coordinates):
F  0.7794  0.7795  0.4398  1 Pm 2.23
Rb  0.2501  0.7501  0.4997  8 F 3.08-3.10
H  0.5000  0.5000  0.0000  2 F 1.16
F  0.7801  0.7800  0.9994  1 Pm 2.23
F  0.6658  0.3341  0.0000  1 H 1.16
F  0.2206  0.2205  0.5602  1 Pm 2.23
Pm  0.0000  0.0000  0.0000  6 F 2.23-2.34
F  0.2199  0.2200  0.0006  1 Pm 2.23
F  0.3342  0.6659  0.0000  1 H 1.16
Rb  0.7499  0.2499  0.5003  8 F 3.08-3.10


Record 8
NdYIO6 after structural relaxation, computed with GGA-PBE.

Calculated values
Spin magnetization in μB/cell: 0.00
Energy in eV per atom: -6.737
Formation energy from raw total energies in eV/atom: -2.01
ρ in kg/m³: 5507
Space group: P-31c

a b c (Å): 5.6659 5.6659 9.8930
angles (deg): 90.00 90.00 120.00
With the nearest neighbours (Å) after each atom.
Atoms (fractional coordinates):
O  0.0356  0.3704  0.6373  1 I 2.02
O  0.3704  0.0356  0.1373  1 I 2.02
O  0.6296  0.6652  0.6373  1 I 2.02
O  0.6652  0.0356  0.3627  1 I 2.02
I  0.3333  0.6667  0.7500  6 O 2.02
O  0.9644  0.3348  0.1373  1 I 2.02
O  0.0356  0.6652  0.8627  1 I 2.02
O  0.3704  0.3348  0.3627  1 I 2.02
O  0.3348  0.9644  0.6373  1 I 2.02
Nd  0.0000  0.0000  0.5000  6 O 2.42
O  0.6296  0.9644  0.8627  1 I 2.02
O  0.9644  0.6296  0.3627  1 I 2.02
Y  0.3333  0.6667  0.2500  6 O 2.28
O  0.3348  0.3704  0.8627  1 I 2.02
I  0.6667  0.3333  0.2500  6 O 2.02
Y  0.6667  0.3333  0.7500  6 O 2.28
O  0.6652  0.6296  0.1373  1 I 2.02
Nd  0.0000  0.0000  0.0000  6 O 2.42


Record 9
Ac2Cd3Ge after structural relaxation, computed with GGA-PBE.

Calculated values
Formation energy in meV/atom: -408
Spin magnetization in μB/cell: 0.00
Energy in eV per atom: -3.005
ρ in kg/m³: 8057
Space group: Pmm2

a b c (Å): 4.3638 4.8012 8.4976
angles (deg): 90.00 90.00 90.00
With the nearest neighbours (Å) after each atom.
Atoms (fractional coordinates):
Cd  0.5000  0.0000  0.1659  2 Ge 2.81, 1 Cd 2.86
Cd  0.5000  0.0000  0.8299  3 Cd 2.79-2.86
Ac  0.0000  0.5000  0.0245  2 Ge 3.45, 10 Cd 3.46-3.76
Ac  0.0000  0.0000  0.4773  8 Cd 3.43-3.71, 4 Ge 3.45
Cd  0.5000  0.5000  0.6637  1 Ge 2.76, 2 Cd 2.79
Ge  0.5000  0.5000  0.3387  3 Cd 2.76-2.81


Record 10
MgTi2Te after structural relaxation, computed with GGA-PBE.

Calculated values
Spin magnetization in μB/cell: 0.00
Energy in eV per atom: -4.993
Formation energy from raw total energies in eV/atom: 0.14
Energy above the lowest structure with this stoichiometry in eV/atom: 0.046
ρ in kg/m³: 4863
Space group: I-42d

a b c (Å): 7.6075 7.6075 6.1218
angles (deg): 51.59 51.59 90.00
With the nearest neighbours (Å) after each atom.
Atoms (fractional coordinates):
Mg  0.2500  0.7500  0.5000  4 Ti 2.88, 2 Te 2.92
Ti  0.1076  0.6250  0.2500  2 Te 2.70, 2 Mg 2.88, 2 Ti 2.93
Ti  0.3750  0.3576  0.7500  2 Te 2.70, 2 Mg 2.88, 2 Ti 2.93
Mg  0.5000  0.5000  0.0000  4 Ti 2.88, 2 Te 2.92
Ti  0.8750  0.8924  0.7500  2 Te 2.70, 2 Mg 2.88, 2 Ti 2.93
Te  0.7500  0.2500  0.5000  4 Ti 2.70, 2 Mg 2.92
Ti  0.6424  0.1250  0.2500  2 Te 2.70, 2 Mg 2.88, 2 Ti 2.93
Te  0.0000  0.0000  0.0000  4 Ti 2.70, 2 Mg 2.92